1.
A plane-wave DFT calculation with GGA-PBE was carried out for a relaxed structure of Ac5Ni2Ag.

POSCAR file:
```
Ac5Ni2Ag
1.0
-4.175 -4.354 5.702
-3.080 -4.873 -5.976
9.334 0.103 0.872
Ac Ni Ag
10 4 2
Cartesian
-3.627 -4.613 -0.137
3.237 -3.978 3.430
-2.999 -6.530 2.958
5.873 -0.933 1.644
2.441 -5.638 -0.574
-3.794 -8.190 -1.047
-0.362 -3.485 1.171
-1.158 -5.146 -2.833
5.077 -2.593 -2.360
0.000 0.000 0.000
7.655 -2.268 -0.642
5.082 -5.781 -2.219
-3.004 -3.342 2.817
-5.576 -6.856 1.239
2.853 -2.255 0.367
-0.774 -6.868 0.230
```

Properties
**Total magnetic moment**: 0.0 μB/f.u.
**Volume**: 503.8 Å³/cell
**Final energy**: -4.53 eV per atom
**Space group**: I4/mcm, No. 140

2.
A plane-wave DFT calculation with GGA-PBE was carried out for a relaxed structure of HfPaNbMo.

POSCAR file:
```
HfPaNbMo
1.0
4.836 0.000 0.000
2.418 4.188 0.000
2.418 1.396 3.948
Nb Pa Mo Hf
1 1 1 1
Cartesian
0.000 0.000 0.000
2.418 1.396 0.987
4.836 2.792 1.974
7.253 4.188 2.961
```

Properties
**Total magnetic moment**: 0.0 μB/f.u.
**Volume**: 80.0 Å³/cell
**Final energy**: -10.11 eV per atom
**Space group**: F-43m, No. 216

3.
A plane-wave DFT calculation with GGA-PBE was carried out for a relaxed structure of K2HS.

POSCAR file:
```
K2HS
1.0
-3.071 -1.364 2.536
0.162 -5.050 -6.014
5.501 -4.727 4.117
H K S
2 4 2
Cartesian
-1.288 -6.569 -1.598
3.879 -4.573 2.237
1.737 -6.819 -1.564
4.397 -9.105 0.426
-1.805 -2.037 0.213
0.854 -4.322 2.203
1.220 -9.944 -0.377
1.371 -1.198 1.016
```

Properties
**Total magnetic moment**: 0.0 μB/f.u.
**Volume**: 265.7 Å³/cell
**Final energy**: -2.94 eV per atom
**Offset from the most stable computed form**: 0.00 eV per formula unit
**Space group**: Cmcm, No. 63

4.
A plane-wave DFT calculation with GGA-PBE was carried out for a relaxed structure of Dy2AlRu.

POSCAR file:
```
Dy2AlRu
1.0
3.486 0.000 0.000
0.000 3.486 0.000
0.000 0.000 7.138
Dy Al Ru
2 1 1
Cartesian
0.000 0.000 5.499
0.000 0.000 1.639
1.743 1.743 3.569
1.743 1.743 0.000
```

Properties
**Total magnetic moment**: 0.0 μB/f.u.
**Volume**: 86.7 Å³/cell
**Final energy**: -5.97 eV per atom
**Space group**: P4/mmm, No. 123